# 1
{
  "formula": "Li2ZnPt2",
  "functional": "PBE",
  "state": "optimized geometry",
  "lattice": [[3.114, 0.000, 0.000], [0.000, 3.114, 0.000], [0.000, 0.000, 14.323]],
  "species": ["Li", "Li", "Li", "Li", "Zn", "Zn", "Pt", "Pt", "Pt", "Pt"],
  "frac_coords": [[0.000, 0.500, 0.250], [0.000, 0.500, 0.750], [0.500, 0.000, 0.250], [0.500, 0.000, 0.750], [0.000, 0.000, 0.000], [0.500, 0.500, 0.500], [0.000, 0.000, 0.394], [0.000, 0.000, 0.606], [0.500, 0.500, 0.106], [0.500, 0.500, 0.894]],
  "formation_enthalpy_0k_mev_per_atom": -261,
  "e_above_lowest_polymorph_mev_per_atom": 273,
  "spacegroup": "No. 139"
}


# 2
{
  "formula": "Ac2Nd5Sm5",
  "functional": "PBE",
  "state": "optimized geometry",
  "lattice": [[7.888, -2.625, 0.000], [7.888, 2.625, 0.000], [-5.253, 0.000, 10.480]],
  "species": ["Ac", "Ac", "Nd", "Nd", "Nd", "Nd", "Nd", "Sm", "Sm", "Sm", "Sm", "Sm"],
  "frac_coords": [[0.083, 0.083, 0.248], [0.917, 0.917, 0.752], [0.334, 0.334, 0.499], [0.413, 0.413, 0.249], [0.500, 0.500, 0.000], [0.587, 0.587, 0.751], [0.666, 0.666, 0.501], [0.000, 0.000, 0.500], [0.170, 0.170, 0.001], [0.246, 0.246, 0.749], [0.754, 0.754, 0.251], [0.830, 0.830, 0.999]],
  "formation_enthalpy_0k_mev_per_atom": 28,
  "spacegroup": "No. 12"
}


# 3
{
  "formula": "InRh3Se",
  "functional": "PBE",
  "state": "optimized geometry",
  "lattice": [[4.579, 0.000, 0.000], [0.000, 4.579, 0.000], [0.000, 0.000, 4.579]],
  "species": ["In", "Rh", "Rh", "Rh", "Se"],
  "frac_coords": [[0.000, 0.000, 0.000], [0.000, 0.500, 0.500], [0.500, 0.000, 0.500], [0.500, 0.500, 0.000], [0.500, 0.500, 0.500]],
  "e_form_raw_ev_per_atom": 0.2637,
  "e_above_lowest_polymorph_mev_per_atom": 0,
  "spacegroup": "No. 221"
}


# 4
{
  "formula": "PmCdI",
  "functional": "PBE",
  "state": "optimized geometry",
  "lattice": [[2.250, 1.299, 12.362], [-2.250, 1.299, 12.362], [0.000, -2.598, 12.362]],
  "species": ["Pm", "Pm", "Cd", "Cd", "I", "I"],
  "frac_coords": [[0.062, 0.062, 0.062], [0.938, 0.938, 0.938], [0.345, 0.345, 0.345], [0.655, 0.655, 0.655], [0.219, 0.219, 0.219], [0.781, 0.781, 0.781]],
  "e_form_raw_ev_per_atom": -0.7365,
  "spacegroup": "No. 166"
}